# TlCo2Cl, optimized geometry, DFT GGA-PBE
data_TlCo2Cl
_chemical_formula_sum 'Tl3 Co6 Cl3'
_cell_length_a 3.3660
_cell_length_b 3.3660
_cell_length_c 24.0779
_cell_angle_alpha 90.00
_cell_angle_beta 90.00
_cell_angle_gamma 120.00
_space_group_name_H-M_alt 'R 3 m'
_space_group_IT_number 160
_space_group_name_Hall 'R 3 -2"'
loop_
_atom_site_label
_atom_site_type_symbol
_atom_site_fract_x
_atom_site_fract_y
_atom_site_fract_z
Tl1 Tl 0.0000 0.0000 0.0000
Co1 Co 0.0000 0.0000 0.2420
Co2 Co 0.0000 0.0000 0.5247
Cl1 Cl 0.0000 0.0000 0.7956
# Energy above the most stable polymorph in this dataset (eV/atom): 0.000
# Raw total energy (eV/atom): -4.370
# E_form (uncorrected) (eV/f.u.): 0.9



# NdSmDy2As4, optimized geometry, DFT GGA-PBE
data_NdSmDy2As4
_chemical_formula_sum 'Nd1 Sm1 Dy2 As4'
_cell_length_a 7.240
_cell_length_b 4.184
_cell_length_c 7.243
_cell_angle_alpha 90.00
_cell_angle_beta 109.47
_cell_angle_gamma 90.00
_space_group_name_H-M_alt 'P 1 2/m 1'
_space_group_IT_number 10
loop_
_space_group_symop_operation_xyz
'x,y,z'
'-x,-y,-z'
'-x,y,-z'
'x,-y,z'
loop_
_atom_site_label
_atom_site_type_symbol
_atom_site_fract_x
_atom_site_fract_y
_atom_site_fract_z
Nd1 Nd 0.000 0.000 0.000
Sm1 Sm 0.000 0.500 0.500
Dy1 Dy 0.500 0.000 0.500
Dy2 Dy 0.500 0.500 0.000
As1 As 0.257 0.000 0.751
As2 As 0.258 0.500 0.254
# Raw total energy (eV/atom): -6.186
# Energy relative to the elements (meV/atom): -1524.3



# Ac3NdTl4, optimized geometry, DFT GGA-PBE
data_Ac3NdTl4
_chemical_formula_sum 'Ac6 Nd2 Tl8'
_cell_length_a 3.998
_cell_length_b 7.572
_cell_length_c 19.541
_cell_angle_alpha 90.00
_cell_angle_beta 90.00
_cell_angle_gamma 90.00
_space_group_name_H-M_alt 'I m m m'
_space_group_IT_number 71
_space_group_name_Hall '-I 2 2'
loop_
_atom_site_label
_atom_site_type_symbol
_atom_site_fract_x
_atom_site_fract_y
_atom_site_fract_z
Ac1 Ac 0.000 0.000 0.000
Ac2 Ac 0.000 0.500 0.215
Nd1 Nd 0.000 0.000 0.500
Tl1 Tl 0.000 0.287 0.376
# Energy above the most stable polymorph in this dataset (eV/atom): 0.118
# Raw total energy (eV/atom): -3.559
# Energy relative to the elements (meV/atom): -239.2



# BeTeAuN2, optimized geometry, DFT GGA-PBE
data_BeTeAuN2
_chemical_formula_sum 'Be1 Te1 Au1 N2'
_cell_length_a 3.751
_cell_length_b 3.751
_cell_length_c 5.984
_cell_angle_alpha 90.00
_cell_angle_beta 90.00
_cell_angle_gamma 90.00
_space_group_name_H-M_alt 'P 4/m m m'
_space_group_IT_number 123
_space_group_name_Hall '-P 4 2'
loop_
_atom_site_label
_atom_site_type_symbol
_atom_site_fract_x
_atom_site_fract_y
_atom_site_fract_z
Be1 Be 0.000 0.000 0.000
Te1 Te 0.000 0.000 0.500
Au1 Au 0.500 0.500 0.500
N1 N 0.000 0.500 0.000
# Energy above the most stable polymorph in this dataset (eV/atom): 0.000
# Raw total energy (eV/atom): -4.042
# E_form (uncorrected) (eV/f.u.): 6.6



# PrCd3Au4, optimized geometry, DFT GGA-PBE
data_PrCd3Au4
_chemical_formula_sum 'Pr3 Cd9 Au12'
_cell_length_a 4.8212
_cell_length_b 4.8212
_cell_length_c 25.7855
_cell_angle_alpha 90.00
_cell_angle_beta 90.00
_cell_angle_gamma 120.00
_space_group_name_H-M_alt 'R -3 m'
_space_group_IT_number 166
_space_group_name_Hall '-R 3 2"'
loop_
_atom_site_label
_atom_site_type_symbol
_atom_site_fract_x
_atom_site_fract_y
_atom_site_fract_z
Pr1 Pr 0.0000 0.0000 0.0000
Cd1 Cd 0.0000 0.0000 0.2463
Cd2 Cd 0.0000 0.0000 0.5000
Au1 Au 0.0000 0.0000 0.1260
Au2 Au 0.0000 0.0000 0.3889
# Raw total energy (eV/atom): -2.967
# Energy relative to the elements (meV/atom): -387.7



# ReRh2W, optimized geometry, DFT GGA-PBE
data_ReRh2W
_chemical_formula_sum 'Re1 Rh2 W1'
_cell_length_a 3.853
_cell_length_b 3.853
_cell_length_c 3.964
_cell_angle_alpha 90.00
_cell_angle_beta 90.00
_cell_angle_gamma 90.00
_space_group_name_H-M_alt 'P 4/m m m'
_space_group_IT_number 123
_space_group_name_Hall '-P 4 2'
loop_
_atom_site_label
_atom_site_type_symbol
_atom_site_fract_x
_atom_site_fract_y
_atom_site_fract_z
Re1 Re 0.000 0.000 0.000
Rh1 Rh 0.000 0.500 0.500
W1 W 0.500 0.500 0.000
# Energy above the most stable polymorph in this dataset (eV/atom): 0.055
# Raw total energy (eV/atom): -10.171
# Energy relative to the elements (meV/atom): -144.9



# Pm5IrPb2, optimized geometry, DFT GGA-PBE
data_Pm5IrPb2
_chemical_formula_sum 'Pm10 Ir2 Pb4'
_cell_length_a 8.256
_cell_length_b 12.597
_cell_length_c 4.679
_cell_angle_alpha 90.00
_cell_angle_beta 90.00
_cell_angle_gamma 90.00
_space_group_name_H-M_alt 'P b a m'
_space_group_IT_number 55
loop_
_space_group_symop_operation_xyz
'x,y,z'
'-x,-y,-z'
'-x,-y,z'
'x,y,-z'
'x+1/2,-y+1/2,-z'
'-x+1/2,y+1/2,z'
'-x+1/2,y+1/2,-z'
'x+1/2,-y+1/2,z'
loop_
_atom_site_label
_atom_site_type_symbol
_atom_site_fract_x
_atom_site_fract_y
_atom_site_fract_z
Pm1 Pm 0.000 0.000 0.000
Pm2 Pm 0.137 0.299 0.000
Pm3 Pm 0.185 0.566 0.500
Ir1 Ir 0.000 0.500 0.000
Pb1 Pb 0.076 0.828 0.500
# Energy above the most stable polymorph in this dataset (eV/atom): 0.000
# Raw total energy (eV/atom): -5.591
# Energy relative to the elements (meV/atom): -587.1



# FeRu2Pb, optimized geometry, DFT GGA-PBE
data_FeRu2Pb
_chemical_formula_sum 'Fe4 Ru8 Pb4'
_cell_length_a 7.115
_cell_length_b 7.115
_cell_length_c 5.360
_cell_angle_alpha 90.00
_cell_angle_beta 90.00
_cell_angle_gamma 90.00
_space_group_name_H-M_alt 'I -4 2 d'
_space_group_IT_number 122
_space_group_name_Hall 'I -4 2bw'
loop_
_atom_site_label
_atom_site_type_symbol
_atom_site_fract_x
_atom_site_fract_y
_atom_site_fract_z
Fe1 Fe 0.000 0.000 0.000
Ru1 Ru 0.186 0.250 0.125
Pb1 Pb 0.000 0.000 0.500
# Raw total energy (eV/atom): -6.862
# Energy relative to the elements (meV/atom): 818.7



# Na2CaHg, optimized geometry, DFT GGA-PBE
data_Na2CaHg
_chemical_formula_sum 'Na6 Ca3 Hg3'
_cell_length_a 3.7767
_cell_length_b 3.7767
_cell_length_c 33.2970
_cell_angle_alpha 90.00
_cell_angle_beta 90.00
_cell_angle_gamma 120.00
_space_group_name_H-M_alt 'R 3 m'
_space_group_IT_number 160
_space_group_name_Hall 'R 3 -2"'
loop_
_atom_site_label
_atom_site_type_symbol
_atom_site_fract_x
_atom_site_fract_y
_atom_site_fract_z
Na1 Na 0.0000 0.0000 0.0000
Na2 Na 0.0000 0.0000 0.1878
Ca1 Ca 0.0000 0.0000 0.7601
Hg1 Hg 0.0000 0.0000 0.5942
# Raw total energy (eV/atom): -1.278
# Energy relative to the elements (meV/atom): -42.8



# Li2AgSb, optimized geometry, DFT GGA-PBE
data_Li2AgSb
_chemical_formula_sum 'Li4 Ag2 Sb2'
_cell_length_a 9.551
_cell_length_b 3.181
_cell_length_c 5.038
_cell_angle_alpha 90.00
_cell_angle_beta 99.03
_cell_angle_gamma 90.00
_space_group_name_H-M_alt 'C 1 m 1'
_space_group_IT_number 8
loop_
_space_group_symop_operation_xyz
'x,y,z'
'x,-y,z'
'x+1/2,y+1/2,z'
'x+1/2,-y+1/2,z'
loop_
_atom_site_label
_atom_site_type_symbol
_atom_site_fract_x
_atom_site_fract_y
_atom_site_fract_z
Li1 Li 0.000 0.000 0.000
Li2 Li 0.236 0.000 0.711
Ag1 Ag 0.240 0.500 0.199
Sb1 Sb 0.491 0.000 0.497
# Raw total energy (eV/atom): -3.026
# E_form (uncorrected) (eV/f.u.): -1.3



# Rb2CdGeCl6, optimized geometry, DFT GGA-PBE
data_Rb2CdGeCl6
_chemical_formula_sum 'Rb8 Cd4 Ge4 Cl24'
_cell_length_a 10.585
_cell_length_b 10.585
_cell_length_c 10.585
_cell_angle_alpha 90.00
_cell_angle_beta 90.00
_cell_angle_gamma 90.00
_space_group_name_H-M_alt 'F m -3 m'
_space_group_IT_number 225
_space_group_name_Hall '-F 4 2 3'
loop_
_atom_site_label
_atom_site_type_symbol
_atom_site_fract_x
_atom_site_fract_y
_atom_site_fract_z
Rb1 Rb 0.250 0.250 0.250
Cd1 Cd 0.000 0.000 0.000
Ge1 Ge 0.000 0.000 0.500
Cl1 Cl 0.000 0.000 0.250
# Raw total energy (eV/atom): -3.217
# E_form (uncorrected) (eV/f.u.): -13.6



Number 1: total magnetization 3.99 μB per formula unit. Number 2: total magnetization 0.00 μB per formula unit. Number 3: total magnetization 0.35 μB per formula unit. Number 4: total magnetization 2.94 μB per formula unit. Number 5: total magnetization 0.00 μB per formula unit. Number 6: total magnetization 0.00 μB per formula unit. Number 7: total magnetization 0.00 μB per formula unit. Number 8: total magnetization 0.00 μB per formula unit. Number 9: total magnetization 0.00 μB per formula unit. Number 10: total magnetization 0.00 μB per formula unit. Number 11: total magnetization 0.00 μB per formula unit.